Here is a relaxed structure of La5TbPm from Alexandria. Energies are from PBE.

Output
**D(E_F)**: 22.10 states/eV/cell
**E above lowest polymorph**: 0.0 meV per atom
**Theoretical density**: 6.5 g cm⁻³

Structure (POSCAR):
```
La5TbPm
1.0
1.179 -1.124 8.924
6.113 -4.090 5.310
9.195 4.316 9.011
La Tb Pm
10 2 2
direct
0.753 0.742 0.092 La
0.336 0.331 0.591 La
0.742 0.753 0.592 La
0.239 0.761 0.250 La
0.669 0.664 0.909 La
0.331 0.336 0.091 La
0.761 0.239 0.750 La
0.258 0.247 0.408 La
0.664 0.669 0.409 La
0.247 0.258 0.908 La
0.762 0.238 0.250 Tb
0.238 0.762 0.750 Tb
0.000 0.000 0.000 Pm
0.000 0.000 0.500 Pm
```

***

Here is a relaxed structure of La2TbPm3 from Alexandria. Energies are from PBE.

Output
**D(E_F)**: 22.09 states/eV/cell
**E above lowest polymorph**: 181.1 meV per atom
**Theoretical density**: 6.8 g cm⁻³

Structure (POSCAR):
```
La2TbPm3
1.0
-0.701 -1.954 2.775
6.599 -0.456 1.346
-1.066 15.053 10.328
La Tb Pm
4 2 6
direct
0.500 0.728 0.185 La
0.000 0.228 0.315 La
0.000 0.772 0.685 La
0.500 0.272 0.815 La
0.000 0.000 0.500 Tb
0.500 0.500 0.000 Tb
0.000 0.000 0.000 Pm
0.500 0.500 0.500 Pm
0.500 0.776 0.854 Pm
0.500 0.224 0.146 Pm
0.000 0.276 0.646 Pm
0.000 0.724 0.354 Pm
```

***

Here is a relaxed structure of La3Tb4Pm5 from Alexandria. Energies are from PBE.

Output
**DFT total energy**: -4.7352 eV/atom
**D(E_F)**: 18.59 states/eV/cell
**Theoretical density**: 7.2 g cm⁻³

Structure (POSCAR):
```
La3Tb4Pm5
1.0
7.022 -0.444 1.847
-5.280 7.725 -6.741
4.176 -4.081 11.795
La Tb Pm
3 4 5
direct
0.587 0.169 0.334 La
0.000 0.000 0.500 La
0.413 0.831 0.666 La
0.917 0.835 0.669 Tb
0.835 0.667 0.834 Tb
0.165 0.333 0.166 Tb
0.083 0.165 0.331 Tb
0.335 0.668 0.834 Pm
0.500 0.000 0.500 Pm
0.748 0.502 0.002 Pm
0.252 0.498 0.998 Pm
0.665 0.332 0.166 Pm
```

***

Here is a relaxed structure of LaTb2Pm3 from Alexandria. Energies are from PBE.

Output
**D(E_F)**: 10.98 states/eV/cell
**E above lowest polymorph**: 297.1 meV per atom
**Theoretical density**: 7.1 g cm⁻³

Structure (POSCAR):
```
LaTb2Pm3
1.0
3.500 0.000 0.000
0.000 5.998 0.000
-1.750 -2.999 9.925
La Tb Pm
1 2 3
direct
0.000 0.000 0.000 La
0.638 0.638 0.276 Tb
0.362 0.362 0.724 Tb
0.000 0.500 0.000 Pm
0.808 0.808 0.615 Pm
0.192 0.192 0.385 Pm
```

***

Here is a relaxed structure of La12Tb7Pm from Alexandria. Energies are from PBE.

Output
**D(E_F)**: 33.04 states/eV/cell
**E above lowest polymorph**: 0.0 meV per atom
**Theoretical density**: 6.9 g cm⁻³

Structure (POSCAR):
```
La12Tb7Pm
1.0
-6.081 0.884 -6.600
7.076 -2.635 -4.929
-2.556 -8.024 3.224
La Tb Pm
12 7 1
direct
0.760 0.240 0.500 La
0.760 0.500 0.240 La
0.355 0.088 0.355 La
0.912 0.645 0.645 La
0.500 0.240 0.760 La
0.645 0.645 0.912 La
0.355 0.355 0.088 La
0.500 0.760 0.240 La
0.088 0.355 0.355 La
0.645 0.912 0.645 La
0.240 0.500 0.760 La
0.240 0.760 0.500 La
0.093 0.664 0.093 Tb
0.336 0.907 0.907 Tb
0.907 0.907 0.336 Tb
0.500 0.500 0.500 Tb
0.093 0.093 0.664 Tb
0.664 0.093 0.093 Tb
0.907 0.336 0.907 Tb
0.000 0.000 0.000 Pm
```

***

Here is a relaxed structure of La6Tb2Pm3 from Alexandria. Energies are from PBE.

Output
**DFT total energy**: -4.8119 eV/atom
**D(E_F)**: 17.09 states/eV/cell
**Theoretical density**: 6.8 g cm⁻³

Structure (POSCAR):
```
La6Tb2Pm3
1.0
3.684 0.000 0.226
1.835 3.194 0.226
-0.176 -0.102 33.006
La Tb Pm
6 2 3
direct
0.909 0.909 0.274 La
0.091 0.091 0.726 La
0.818 0.818 0.547 La
0.182 0.182 0.453 La
0.636 0.636 0.091 La
0.364 0.364 0.909 La
0.546 0.546 0.363 Tb
0.454 0.454 0.637 Tb
0.000 0.000 0.000 Pm
0.727 0.727 0.818 Pm
0.273 0.273 0.182 Pm
```

***

Here is a relaxed structure of La4Tb4Pm5 from Alexandria. Energies are from PBE.

Output
**DFT total energy**: -4.7461 eV/atom
**D(E_F)**: 21.79 states/eV/cell
**Theoretical density**: 7.1 g cm⁻³

Structure (POSCAR):
```
La4Tb4Pm5
1.0
5.017 0.000 1.275
2.508 9.317 0.638
0.212 0.000 9.668
La Tb Pm
4 4 5
direct
0.922 0.460 0.695 La
0.617 0.305 0.460 La
0.078 0.540 0.305 La
0.383 0.695 0.540 La
0.770 0.384 0.077 Tb
0.230 0.616 0.923 Tb
0.847 0.923 0.384 Tb
0.153 0.077 0.616 Tb
0.690 0.851 0.769 Pm
0.310 0.149 0.231 Pm
0.000 0.000 0.000 Pm
0.541 0.769 0.149 Pm
0.459 0.231 0.851 Pm
```

***

Here is a relaxed structure of LaTb4Pm6 from Alexandria. Energies are from PBE.

Output
**DFT total energy**: -4.5675 eV/atom
**D(E_F)**: 15.17 states/eV/cell
**Theoretical density**: 7.0 g cm⁻³

Structure (POSCAR):
```
LaTb4Pm6
1.0
3.598 0.000 0.000
0.000 11.155 0.000
0.000 -5.578 9.661
La Tb Pm
1 4 6
direct
0.000 0.000 0.000 La
0.500 0.835 0.670 Tb
0.500 0.330 0.165 Tb
0.500 0.835 0.165 Tb
0.000 0.333 0.667 Tb
0.000 0.519 0.039 Pm
0.500 0.636 0.818 Pm
0.000 0.519 0.481 Pm
0.000 0.961 0.481 Pm
0.500 0.182 0.818 Pm
0.500 0.182 0.364 Pm
```